Record 1
Entry from Alexandria: a geometry-optimized HgBiN3 structure (PBE).

a b c (Å): 4.3755 4.3755 4.3755
angles (deg): 90.00 90.00 90.00
With the nearest neighbours (Å) after each atom.
Fractional coordinates of all 5 atoms:
Hg: 0.0000 0.0000 0.0000  12 N 3.09
Bi: 0.5000 0.5000 0.5000  6 N 2.19
N: 0.0000 0.5000 0.5000  2 Bi 2.19
N: 0.5000 0.0000 0.5000  2 Bi 2.19
N: 0.5000 0.5000 0.0000  2 Bi 2.19

Results
SG: Pm-3m
ρ: 8.95 g/cm³

***

Record 2
Entry from Alexandria: a geometry-optimized Nd4HgBiN structure (PBE).

a b c (Å): 8.8565 8.8565 6.9961
angles (deg): 90.00 90.00 133.56
With the nearest neighbours (Å) after each atom.
Fractional coordinates of all 14 atoms:
Nd: 0.0000 0.5000 0.0000  2 N 2.47
Nd: 0.0000 0.5000 0.5000  2 N 2.47
Nd: 0.0829 0.9171 0.7500  1 N 2.67
Nd: 0.4075 0.5925 0.7500  1 N 2.62
Nd: 0.5000 0.0000 0.0000  2 N 2.47
Nd: 0.5000 0.0000 0.5000  2 N 2.47
Nd: 0.5925 0.4075 0.2500  1 N 2.62
Nd: 0.9171 0.0829 0.2500  1 N 2.67
Hg: 0.1152 0.8848 0.2500  9 Nd 3.22-3.54
Hg: 0.8848 0.1152 0.7500  9 Nd 3.22-3.54
Bi: 0.3938 0.6062 0.2500  9 Nd 3.23-3.51
Bi: 0.6062 0.3938 0.7500  9 Nd 3.23-3.51
N: 0.2467 0.7533 0.7500  6 Nd 2.47-2.67
N: 0.7533 0.2467 0.2500  6 Nd 2.47-2.67

Results
SG: Cmcm
ρ: 8.36 g/cm³

***

Number 1: raw total energy -3.727 eV per atom, formation energy without anion corrections 2.10 eV per atom, M_tot 2.9 μB per formula unit. Number 2: raw total energy -5.294 eV per atom, formation energy without anion corrections -0.78 eV per atom, M_tot 0.0 μB per formula unit.